Record 1
Th7Bi2Ru2 | PBE-GGA | relaxed

Cell lengths 8.6995, 11.3835, 7.9401 Å; angles 90.00, 101.22, 90.00 degrees
Space group C2/m (No. 12)
Asymmetric unit:
Th 0.0000 0.0000 0.0000 x2
Th 0.0741 0.5000 0.7861 x4
Th 0.1911 0.2656 0.1894 x8
Bi 0.0000 0.2616 0.5000 x4
Ru 0.2256 0.5000 0.1256 x4

Properties
- Excess energy over the best structure of this formula in the dataset: 405.9 meV per atom

***

Record 2
Th12Bi6Ru | PBE-GGA | relaxed

Cell lengths 13.4047, 13.4047, 12.4698 Å; angles 90.00, 90.00, 120.00 degrees
Space group R-3 (No. 148, hexagonal axes)
Asymmetric unit:
Th 0.0302 0.8512 0.3862 x18
Th 0.0813 0.8910 0.8639 x18
Bi 0.0306 0.6207 0.2954 x18
Ru 0.0000 0.0000 0.0000 x3

***

Record 3
Th4BiRu | PBE-GGA | relaxed

Cell lengths 7.0165, 5.8450, 8.6201 Å; angles 90.00, 90.00, 90.00 degrees
Space group Pmn2_1 (No. 31)
Asymmetric unit:
Th 0.0000 0.0903 0.0000 x2
Th 0.0000 0.7928 0.6284 x2
Th 0.2413 0.6656 0.2069 x4
Bi 0.0000 0.2042 0.3735 x2
Ru 0.0000 0.5600 0.9293 x2

Properties
- Excess energy over the best structure of this formula in the dataset: 247.3 meV per atom

***

Record 4
Th3Bi2Ru | PBE-GGA | relaxed

Cell lengths 10.3500, 8.6776, 8.3153 Å; angles 90.00, 106.34, 90.00 degrees
Space group C2/c (No. 15)
Asymmetric unit:
Th 0.0000 0.0898 0.2500 x4
Th 0.1450 0.4061 0.9672 x8
Bi 0.1684 0.2015 0.6453 x8
Ru 0.0000 0.3921 0.2500 x4

Properties
- Excess energy over the best structure of this formula in the dataset: 98.1 meV per atom

***

Record 5
Th5Bi4Ru | PBE-GGA | relaxed

Cell lengths 10.0517, 10.0517, 6.4641 Å; angles 90.00, 90.00, 90.00 degrees
Space group I4/m (No. 87)
Asymmetric unit:
Th 0.0000 0.0000 0.0000 x2
Th 0.0947 0.7405 0.5000 x8
Bi 0.0836 0.6886 0.0000 x8
Ru 0.0000 0.0000 0.5000 x2

***

Record 6
Th3Bi2Ru2 | PBE-GGA | relaxed

Cell lengths 3.9716, 6.3211, 8.8150 Å; angles 97.61, 102.81, 108.24 degrees
Space group P-1 (No. 2)
Asymmetric unit:
Th 0.0000 0.0000 0.0000 x1
Th 0.4098 0.6232 0.1997 x2
Bi 0.2718 0.1567 0.3902 x2
Ru 0.2778 0.7077 0.8454 x2

***

Record 7
Th7Bi2Ru2 | PBE-GGA | relaxed

Cell lengths 3.9460, 16.4751, 10.0222 Å; angles 90.00, 90.00, 90.00 degrees
Space group Imm2 (No. 44)
Asymmetric unit:
Th 0.0000 0.0000 0.0000 x2
Th 0.0000 0.1382 0.5716 x4
Th 0.0000 0.3196 0.3703 x4
Th 0.0000 0.3461 0.7372 x4
Bi 0.0000 0.0000 0.3316 x2
Bi 0.0000 0.5000 0.2235 x2
Ru 0.0000 0.2262 0.0574 x4

Properties
- Excess energy over the best structure of this formula in the dataset: 0.0 meV per atom

***

Record 8
Th3Bi2Ru | PBE-GGA | relaxed

Cell lengths 4.4737, 4.4737, 18.8255 Å; angles 90.00, 90.00, 90.00 degrees
Space group I4/mmm (No. 139)
Asymmetric unit:
Th 0.0000 0.0000 0.0000 x2
Th 0.0000 0.0000 0.3605 x4
Bi 0.0000 0.0000 0.1789 x4
Ru 0.0000 0.0000 0.5000 x2

Properties
- Excess energy over the best structure of this formula in the dataset: 0.0 meV per atom

***

Record 9
TiBiRu2 | PBE-GGA | relaxed

Cell lengths 4.2296, 4.2296, 17.2865 Å; angles 90.00, 90.00, 90.00 degrees
Space group I-42d (No. 122)
Asymmetric unit:
Ti 0.0000 0.0000 0.0000 x4
Bi 0.0000 0.0000 0.5000 x4
Ru 0.1857 0.2500 0.1250 x8

***

Record 10
Ti8Bi2Ru | PBE-GGA | relaxed

Cell lengths 14.4924, 4.6995, 6.3167 Å; angles 90.00, 110.41, 90.00 degrees
Space group C2/m (No. 12)
Asymmetric unit:
Ti 0.0068 0.0000 0.2500 x4
Ti 0.0964 0.5000 0.9089 x4
Ti 0.1438 0.5000 0.3919 x4
Ti 0.1636 0.0000 0.6703 x4
Bi 0.1938 0.0000 0.1708 x4
Ru 0.0000 0.5000 0.5000 x2

***

Record 11
TiBi3Ru | PBE-GGA | relaxed

Cell lengths 5.2832, 5.2832, 5.2832 Å; angles 90.00, 90.00, 90.00 degrees
Space group Pm-3m (No. 221)
Asymmetric unit:
Ti 0.0000 0.0000 0.0000 x1
Bi 0.0000 0.5000 0.5000 x3
Ru 0.5000 0.5000 0.5000 x1

Properties
- Excess energy over the best structure of this formula in the dataset: 0.0 meV per atom

***

Record 12
TiBi2Ru | PBE-GGA | relaxed

Cell lengths 4.4527, 4.4527, 18.8728 Å; angles 90.00, 90.00, 90.00 degrees
Space group I-42d (No. 122)
Asymmetric unit:
Ti 0.0000 0.0000 0.0000 x4
Bi 0.2417 0.2500 0.6250 x8
Ru 0.0000 0.0000 0.5000 x4

Properties
- Excess energy over the best structure of this formula in the dataset: 272.0 meV per atom

***

Number 1: E_tot -156.241 eV per cell, total magnetization 0.000 μB per atom, DFT formation energy 12 meV per atom. Number 2: E_tot -374.488 eV per cell, total magnetization 0.000 μB per atom, DFT formation energy -170 meV per atom. Number 3: E_tot -86.981 eV per cell, total magnetization 0.000 μB per atom, DFT formation energy -109 meV per atom. Number 4: E_tot -166.423 eV per cell, total magnetization 0.000 μB per atom, DFT formation energy -385 meV per atom. Number 5: E_tot -134.846 eV per cell, total magnetization 0.000 μB per atom, DFT formation energy -552 meV per atom. Number 6: E_tot -51.275 eV per cell, total magnetization 0.000 μB per atom, DFT formation energy -386 meV per atom. Number 7: E_tot -165.170 eV per cell, total magnetization 0.000 μB per atom, DFT formation energy -394 meV per atom. Number 8: E_tot -84.389 eV per cell, total magnetization 0.000 μB per atom, DFT formation energy -483 meV per atom. Number 9: E_tot -114.636 eV per cell, total magnetization 0.000 μB per atom, DFT formation energy 417 meV per atom. Number 10: E_tot -163.054 eV per cell, total magnetization 0.108 μB per atom, DFT formation energy -121 meV per atom. Number 11: E_tot -24.984 eV per cell, total magnetization 0.536 μB per atom, DFT formation energy 766 meV per atom. Number 12: E_tot -91.505 eV per cell, total magnetization 0.000 μB per atom, DFT formation energy 514 meV per atom.